Entry 1:
Density functional theory data (PBE) for PrInO3 after structural relaxation.

Cell and atoms, written as POSCAR:
```
PrInO3
1.0
2.9039 1.6766 5.0772
-2.9039 1.6766 5.0772
0.0000 -3.3531 5.0772
Pr In O
2 2 6
Cartesian
0.0000 0.0000 2.0146
0.0000 0.0000 13.2171
0.0000 0.0000 5.3561
0.0000 0.0000 9.8756
-1.9377 -0.2788 6.3009
-0.7274 -1.8175 8.9307
1.2103 -1.5387 6.3010
-1.2103 1.5387 8.9307
0.7274 1.8175 6.3010
1.9377 0.2788 8.9307
```

=====

Entry 2:
Density functional theory data (PBE) for PrInO3 after structural relaxation.

Cell and atoms, written as POSCAR:
```
PrInO3
1.0
-2.8743 4.1638 2.8946
2.8743 -4.1638 2.8946
2.8743 4.1638 -2.8946
Pr In O
2 2 6
Cartesian
0.0000 2.0819 0.1469
2.8743 2.0819 2.7477
2.8743 0.0000 0.0000
0.0000 0.0000 2.8946
2.8743 2.0819 -0.7146
1.4371 4.7800 -1.4473
1.4371 0.6162 1.4473
-1.4371 3.5476 1.4473
1.4371 3.5476 1.4473
0.0000 2.0819 3.6092
```

=====

Entry 3:
Density functional theory data (PBE) for PrInO3 after structural relaxation.

Cell and atoms, written as POSCAR:
```
PrInO3
1.0
3.9438 0.0000 0.0000
0.0000 3.9438 0.0000
0.0000 0.0000 4.8528
Pr In O
1 1 3
Cartesian
0.0000 0.0000 0.0000
1.9719 1.9719 2.7461
0.0000 1.9719 3.4893
1.9719 0.0000 3.4893
1.9719 1.9719 0.7053
```

=====

Entry 4:
Density functional theory data (PBE) for Pr2In2O5 after structural relaxation.

ΔE to the lowest computed polymorph: 31 meV per atom

Cell and atoms, written as POSCAR:
```
Pr2In2O5
1.0
4.2157 0.0000 0.0000
0.0000 4.2157 0.0000
0.0000 0.0000 7.2171
Pr In O
2 2 5
Cartesian
0.0000 0.0000 0.0000
0.0000 0.0000 3.6086
2.1078 2.1078 1.4746
2.1078 2.1078 5.7425
0.0000 2.1078 1.7314
0.0000 2.1078 5.4857
2.1078 0.0000 1.7314
2.1078 0.0000 5.4857
2.1078 2.1078 3.6086
```

=====

Entry 5:
Density functional theory data (PBE) for PrInO3 after structural relaxation.

Cell and atoms, written as POSCAR:
```
PrInO3
1.0
2.9346 1.6943 4.6244
-2.9346 1.6943 4.6244
0.0000 -3.3886 4.6244
Pr In O
2 2 6
Cartesian
0.0000 0.0000 3.4683
0.0000 0.0000 10.4048
0.0000 0.0000 0.0000
0.0000 0.0000 6.9365
-1.7775 0.3098 5.7804
-1.1570 -1.3845 8.0926
0.6205 -1.6943 5.7804
-0.6205 1.6943 8.0926
1.1570 1.3845 5.7804
1.7775 -0.3098 8.0926
```

=====

Entry 6:
Density functional theory data (PBE) for PrZnInO3 after structural relaxation.

Cell and atoms, written as POSCAR:
```
PrZnInO3
1.0
1.8052 -6.9635 0.0000
1.8052 6.9635 0.0000
0.0000 0.0000 8.2169
Pr Zn In O
2 2 2 6
Cartesian
0.0000 0.0000 0.0000
0.0000 0.0000 4.1084
1.8052 2.4179 6.1627
1.8052 -2.4179 2.0542
1.8052 2.4367 2.0542
1.8052 -2.4367 6.1627
1.8052 5.8158 6.1627
1.8052 1.5133 4.4866
1.8052 1.5133 7.8388
1.8052 -1.5133 0.3781
1.8052 -1.5133 3.7303
1.8052 -5.8158 2.0542
```

=====

Entry 7:
Density functional theory data (PBE) for InPt2O4 after structural relaxation.

Cell and atoms, written as POSCAR:
```
InPt2O4
1.0
0.0000 4.5934 4.5934
4.5934 0.0000 4.5934
4.5934 4.5934 0.0000
In Pt O
2 4 8
Cartesian
1.1484 1.1484 1.1484
8.0385 8.0385 8.0385
4.5934 2.2967 2.2967
2.2967 4.5934 2.2967
2.2967 2.2967 4.5934
4.5934 4.5934 4.5934
2.4843 2.4843 2.4843
4.4058 4.4058 2.4843
4.4058 2.4843 4.4058
6.7026 4.7810 4.7810
2.4843 4.4058 4.4058
4.7810 6.7026 4.7810
4.7810 4.7810 6.7026
6.7026 6.7026 6.7026
```

=====

Entry 8:
Density functional theory data (PBE) for InReO3 after structural relaxation.

Cell and atoms, written as POSCAR:
```
InReO3
1.0
3.9531 0.0000 0.0000
0.0000 3.9531 0.0000
0.0000 0.0000 3.9516
In Re O
1 1 3
Cartesian
0.0000 0.0000 0.0000
1.9765 1.9765 1.9869
0.0000 1.9765 1.9919
1.9765 0.0000 1.9919
1.9765 1.9765 0.0133
```

=====

Computed total energy (Ry per atom) in order:
-0.503 -0.505 -0.495 -0.471 -0.503 -0.430 -0.395 -0.522
Computed magnetic moment (μB per atom) in order:
0.0000 0.0000 0.0000 0.0000 0.0000 0.0001 0.1421 0.0002